## V3Cu2SnP6O24 (PBE+U)

Data for a relaxed structure of V3Cu2SnP6O24. Values from VASP.

Results
final energy	-7.111	eV/atom
density of states at the Fermi level	0.406	states/eV per atom
space-group type	R3, No. 146

Structure (Quantum ESPRESSO input):
```
&SYSTEM
  ibrav = 0, nat = 36, ntyp = 5
/
ATOMIC_SPECIES
V 50.94 V.upf
Cu 63.55 Cu.upf
Sn 118.71 Sn.upf
P 30.97 P.upf
O 16.00 O.upf
CELL_PARAMETERS angstrom
4.3175 2.4927 7.0720
-4.3175 2.4927 7.0720
0.0000 -4.9854 7.0720
ATOMIC_POSITIONS crystal
V 0.0000 0.0000 0.0000
V 0.2140 0.2140 0.2140
V 0.7149 0.7149 0.7149
Cu 0.3534 0.3534 0.3534
Cu 0.8580 0.8580 0.8580
Sn 0.4990 0.4990 0.4990
P 0.1023 0.8195 0.3975
P 0.3135 0.6079 0.9022
P 0.3975 0.1023 0.8195
P 0.6079 0.9022 0.3135
P 0.8195 0.3975 0.1023
P 0.9022 0.3135 0.6079
O 0.0393 0.8608 0.2400
O 0.0913 0.2979 0.4381
O 0.1204 0.7722 0.9272
O 0.1633 0.9770 0.3611
O 0.2400 0.0393 0.8608
O 0.2687 0.6261 0.4068
O 0.2979 0.4381 0.0913
O 0.3367 0.5593 0.7420
O 0.3611 0.1633 0.9770
O 0.4068 0.2687 0.6261
O 0.4381 0.0913 0.2979
O 0.4788 0.6598 0.8607
O 0.5593 0.7420 0.3367
O 0.5919 0.9396 0.7984
O 0.6261 0.4068 0.2687
O 0.6598 0.8607 0.4788
O 0.7420 0.3367 0.5593
O 0.7722 0.9272 0.1204
O 0.7984 0.5919 0.9396
O 0.8608 0.2400 0.0393
O 0.8607 0.4788 0.6598
O 0.9272 0.1204 0.7722
O 0.9396 0.7984 0.5919
O 0.9770 0.3611 0.1633
```